# NaTa3Ni | Alexandria | PBE-GGA | relaxed
# ΔE_f	1.1368	eV per atom
# N(E_F)	4.26	states/eV per cell
# ΔE to the lowest computed polymorph	0.0	meV per atom
# space-group type	No. 221
data_NaTa3Ni
_chemical_formula_sum 'Na1 Ta3 Ni1'
_cell_length_a 4.7014
_cell_length_b 4.7014
_cell_length_c 4.7014
_cell_angle_alpha 90.00
_cell_angle_beta 90.00
_cell_angle_gamma 90.00
_symmetry_space_group_name_H-M 'P 1'
_symmetry_Int_Tables_number 1
_symmetry_space_group_name_Hall 'P 1'
loop_
_atom_site_label
_atom_site_fract_x
_atom_site_fract_y
_atom_site_fract_z
Ni1 0.0000 0.0000 0.0000
Na1 0.5000 0.5000 0.5000
Ta1 0.0000 0.5000 0.0000
Ta2 0.0000 0.0000 0.5000
Ta3 0.5000 0.0000 0.0000

---

# NaTaNiTe3 | Alexandria | PBE-GGA | relaxed
# N(E_F)	2.61	states/eV per cell
# uncorrected formation energy	-2.793	eV per formula unit
# space-group type	No. 11
data_NaTaNiTe3
_chemical_formula_sum 'Na2 Ta2 Ni2 Te6'
_cell_length_a 3.7901
_cell_length_b 8.5543
_cell_length_c 10.3484
_cell_angle_alpha 113.77
_cell_angle_beta 90.00
_cell_angle_gamma 90.00
_symmetry_space_group_name_H-M 'P 1'
_symmetry_Int_Tables_number 1
_symmetry_space_group_name_Hall 'P 1'
loop_
_atom_site_label
_atom_site_fract_x
_atom_site_fract_y
_atom_site_fract_z
Na1 0.2500 0.2946 0.2941
Na2 0.7500 0.7054 0.7059
Ta1 0.2500 0.7184 0.1886
Ta2 0.7500 0.2816 0.8114
Ni1 0.2500 0.0877 0.6054
Ni2 0.7500 0.9123 0.3946
Te1 0.7500 0.9385 0.1584
Te2 0.2500 0.0615 0.8416
Te3 0.2500 0.7555 0.4613
Te4 0.7500 0.2445 0.5387
Te5 0.7500 0.4408 0.1209
Te6 0.2500 0.5592 0.8791

---

# NaTa2ZnNi | Alexandria | PBE-GGA | relaxed
# ΔE_f	0.9266	eV per atom
# N(E_F)	5.48	states/eV per cell
# space-group type	No. 123
data_NaTa2ZnNi
_chemical_formula_sum 'Na1 Ta2 Zn1 Ni1'
_cell_length_a 4.6616
_cell_length_b 4.6646
_cell_length_c 4.6616
_cell_angle_alpha 90.00
_cell_angle_beta 90.00
_cell_angle_gamma 90.00
_symmetry_space_group_name_H-M 'P 1'
_symmetry_Int_Tables_number 1
_symmetry_space_group_name_Hall 'P 1'
loop_
_atom_site_label
_atom_site_fract_x
_atom_site_fract_y
_atom_site_fract_z
Ni1 0.0000 0.0000 0.0000
Zn1 0.0000 0.5000 0.0000
Na1 0.5000 0.5000 0.5000
Ta1 0.0000 0.0000 0.5000
Ta2 0.5000 0.0000 0.0000

---

# NaTb2Ni | Alexandria | PBE-GGA | relaxed
# ΔE_f	-0.0181	eV per atom
# N(E_F)	1.88	states/eV per cell
# ΔE to the lowest computed polymorph	82.3	meV per atom
# space-group type	No. 166
data_NaTb2Ni
_chemical_formula_sum 'Na1 Tb2 Ni1'
_cell_length_a 3.9161
_cell_length_b 3.9161
_cell_length_c 10.4913
_cell_angle_alpha 79.24
_cell_angle_beta 79.24
_cell_angle_gamma 60.00
_symmetry_space_group_name_H-M 'P 1'
_symmetry_Int_Tables_number 1
_symmetry_space_group_name_Hall 'P 1'
loop_
_atom_site_label
_atom_site_fract_x
_atom_site_fract_y
_atom_site_fract_z
Ni1 0.5000 0.5000 0.5000
Tb1 0.1200 0.1200 0.6399
Tb2 0.8800 0.8800 0.3601
Na1 0.0000 0.0000 0.0000